# 1
## Tl2TePd2 (PBE)

Data for a relaxed Tl2TePd2 crystal.

a b c (Å): 7.407 7.407 4.162
angles (deg): 90.00 90.00 90.00
Sites, in units of the cell vectors:
Tl: 0.159 0.341 0.000
Tl: 0.341 0.841 0.000
Tl: 0.659 0.159 0.000
Tl: 0.841 0.659 0.000
Te: 0.000 0.000 0.500
Te: 0.500 0.500 0.500
Pd: 0.144 0.644 0.500
Pd: 0.356 0.144 0.500
Pd: 0.644 0.856 0.500
Pd: 0.856 0.356 0.500

Results
Offset from the most stable computed form = 104.0 meV/atom
Energy relative to the elements, uncorrected = -0.135 eV per atom

=====

# 2
## ZrIn4Fe (PBE)

Data for a relaxed ZrIn4Fe crystal.

a b c (Å): 5.779 5.779 5.779
angles (deg): 60.00 60.00 60.00
Sites, in units of the cell vectors:
Zr: 0.000 0.000 0.000
In: 0.375 0.375 0.375
In: 0.375 0.375 0.874
In: 0.375 0.874 0.375
In: 0.874 0.375 0.375
Fe: 0.750 0.750 0.750

Results
Energy of formation from the pure elements = 0.46 eV/atom

=====

# 3
## PrNd3Y2Ho6 (PBE)

Data for a relaxed PrNd3Y2Ho6 crystal.

a b c (Å): 6.220 6.220 11.850
angles (deg): 95.01 95.01 119.98
Sites, in units of the cell vectors:
Pr: 0.000 0.000 0.000
Nd: 0.167 0.833 0.500
Nd: 0.500 0.500 0.500
Nd: 0.833 0.167 0.500
Y: 0.333 0.667 0.000
Y: 0.667 0.333 0.000
Ho: 0.083 0.417 0.249
Ho: 0.250 0.250 0.751
Ho: 0.417 0.083 0.249
Ho: 0.583 0.917 0.751
Ho: 0.750 0.750 0.249
Ho: 0.917 0.583 0.751

Results
Energy of formation from the pure elements = 0.02 eV/atom

=====

# 4
## CaReRh2 (PBE)

Data for a relaxed CaReRh2 crystal.

a b c (Å): 5.883 5.883 5.883
angles (deg): 152.25 133.96 54.61
Sites, in units of the cell vectors:
Ca: 0.000 0.000 0.000
Re: 0.285 0.785 0.500
Rh: 0.494 0.494 0.000
Rh: 0.723 0.223 0.500

Results
Offset from the most stable computed form = 172.3 meV/atom
Energy of formation from the pure elements = 0.11 eV/atom

=====

# 5
## CaPuSi4 (PBE)

Data for a relaxed CaPuSi4 crystal.

a b c (Å): 4.092 4.123 6.917
angles (deg): 90.00 90.00 90.00
Sites, in units of the cell vectors:
Ca: 0.000 0.000 0.000
Pu: 0.000 0.500 0.500
Si: 0.500 0.000 0.334
Si: 0.500 0.000 0.666
Si: 0.500 0.500 0.171
Si: 0.500 0.500 0.829

Results
Offset from the most stable computed form = 0.0 meV/atom
Energy relative to the elements, uncorrected = -0.430 eV per atom

=====

# 6
## KSmPbBr6 (PBE)

Data for a relaxed KSmPbBr6 crystal.

a b c (Å): 7.689 7.689 14.325
angles (deg): 90.00 90.00 120.00
Sites, in units of the cell vectors:
K: 0.000 0.000 0.000
K: 0.000 0.000 0.500
Sm: 0.333 0.667 0.250
Sm: 0.667 0.333 0.750
Pb: 0.333 0.667 0.750
Pb: 0.667 0.333 0.250
Br: 0.018 0.372 0.134
Br: 0.018 0.646 0.366
Br: 0.354 0.372 0.366
Br: 0.354 0.982 0.134
Br: 0.372 0.018 0.634
Br: 0.372 0.354 0.866
Br: 0.628 0.646 0.134
Br: 0.628 0.982 0.366
Br: 0.646 0.018 0.866
Br: 0.646 0.628 0.634
Br: 0.982 0.354 0.634
Br: 0.982 0.628 0.866

Results
Energy relative to the elements, uncorrected = -1.551 eV per atom

=====

# 7
## AcRu4 (PBE)

Data for a relaxed AcRu4 crystal.

a b c (Å): 4.918 4.918 4.918
angles (deg): 90.00 90.00 90.00
Sites, in units of the cell vectors:
Ac: 0.000 0.000 0.000
Ru: 0.000 0.000 0.500
Ru: 0.000 0.500 0.000
Ru: 0.500 0.000 0.000
Ru: 0.500 0.500 0.500

Results
Energy of formation from the pure elements = 2.55 eV/atom

=====

# 8
## Dy3TmGa12 (PBE)

Data for a relaxed Dy3TmGa12 crystal.

a b c (Å): 4.263 4.263 17.102
angles (deg): 90.00 90.00 90.00
Sites, in units of the cell vectors:
Dy: 0.000 0.000 0.000
Dy: 0.000 0.000 0.251
Dy: 0.000 0.000 0.749
Tm: 0.000 0.000 0.500
Ga: 0.000 0.500 0.126
Ga: 0.000 0.500 0.377
Ga: 0.000 0.500 0.623
Ga: 0.000 0.500 0.874
Ga: 0.500 0.000 0.126
Ga: 0.500 0.000 0.377
Ga: 0.500 0.000 0.623
Ga: 0.500 0.000 0.874
Ga: 0.500 0.500 0.000
Ga: 0.500 0.500 0.250
Ga: 0.500 0.500 0.500
Ga: 0.500 0.500 0.750

Results
Energy of formation from the pure elements = -0.53 eV/atom

=====

Magnetization list, top to bottom, in μB/atom: 0.00 0.64 0.00 0.00 0.94 0.00 1.18 0.00
Uncorrected energy list, top to bottom, in eV per atom: -3.787 -4.196 -4.939 -7.180 -6.767 -3.725 -5.688 -3.938